1.
# YAuSe2 PBE-GGA optimized geometry
# E	-4.996	eV/atom
# raw formation energy	-0.818	eV/atom
# space-group type	Fm-3m, No. 225
data_YAuSe2
_chemical_formula_sum 'Y1 Au1 Se2'
_space_group_name_H-M_alt 'P 1'
_space_group_IT_number 1
_cell_length_a 4.979
_cell_length_b 4.979
_cell_length_c 4.979
_cell_angle_alpha 60.00
_cell_angle_beta 60.00
_cell_angle_gamma 60.00
loop_
_space_group_symop_operation_xyz
'x,y,z'
loop_
_atom_site_label
_atom_site_type_symbol
_atom_site_fract_x
_atom_site_fract_y
_atom_site_fract_z
Y1 Y 0.000 0.000 0.000
Au1 Au 0.500 0.500 0.500
Se1 Se 0.250 0.250 0.250
Se2 Se 0.750 0.750 0.750

***

2.
# Y4CI5 PBE-GGA optimized geometry
# E	-5.390	eV/atom
# raw formation energy	-1.107	eV/atom
# space-group type	C2/m, No. 12
data_Y4CI5
_chemical_formula_sum 'Y4 C1 I5'
_space_group_name_H-M_alt 'P 1'
_space_group_IT_number 1
_cell_length_a 9.862
_cell_length_b 9.862
_cell_length_c 8.597
_cell_angle_alpha 102.18
_cell_angle_beta 102.18
_cell_angle_gamma 23.32
loop_
_space_group_symop_operation_xyz
'x,y,z'
loop_
_atom_site_label
_atom_site_type_symbol
_atom_site_fract_x
_atom_site_fract_y
_atom_site_fract_z
Y1 Y 0.001 0.001 0.310
Y2 Y 0.373 0.373 0.437
Y3 Y 0.627 0.627 0.563
Y4 Y 0.999 0.999 0.690
C1 C 0.500 0.500 0.500
I1 I 0.162 0.162 0.839
I2 I 0.166 0.166 0.322
I3 I 0.500 0.500 0.000
I4 I 0.834 0.834 0.678
I5 I 0.838 0.838 0.161

***

3.
# BaLi3Te3 PBE-GGA optimized geometry
# E	-3.402	eV/atom
# raw formation energy	-0.960	eV/atom
# space-group type	Pm-3n, No. 223
data_BaLi3Te3
_chemical_formula_sum 'Ba2 Li6 Te6'
_space_group_name_H-M_alt 'P 1'
_space_group_IT_number 1
_cell_length_a 7.492
_cell_length_b 7.492
_cell_length_c 7.492
_cell_angle_alpha 90.00
_cell_angle_beta 90.00
_cell_angle_gamma 90.00
loop_
_space_group_symop_operation_xyz
'x,y,z'
loop_
_atom_site_label
_atom_site_type_symbol
_atom_site_fract_x
_atom_site_fract_y
_atom_site_fract_z
Ba1 Ba 0.000 0.000 0.000
Ba2 Ba 0.500 0.500 0.500
Li1 Li 0.000 0.250 0.500
Li2 Li 0.000 0.750 0.500
Li3 Li 0.250 0.500 0.000
Li4 Li 0.500 0.000 0.250
Li5 Li 0.500 0.000 0.750
Li6 Li 0.750 0.500 0.000
Te1 Te 0.000 0.500 0.250
Te2 Te 0.000 0.500 0.750
Te3 Te 0.250 0.000 0.500
Te4 Te 0.500 0.250 0.000
Te5 Te 0.500 0.750 0.000
Te6 Te 0.750 0.000 0.500

***

4.
# MnTeRu2 PBE-GGA optimized geometry
# E	-7.479	eV/atom
# raw formation energy	0.237	eV/atom
# space-group type	C2/m, No. 12
data_MnTeRu2
_chemical_formula_sum 'Mn1 Te1 Ru2'
_space_group_name_H-M_alt 'P 1'
_space_group_IT_number 1
_cell_length_a 4.514
_cell_length_b 4.514
_cell_length_c 4.958
_cell_angle_alpha 100.69
_cell_angle_beta 100.69
_cell_angle_gamma 39.73
loop_
_space_group_symop_operation_xyz
'x,y,z'
loop_
_atom_site_label
_atom_site_type_symbol
_atom_site_fract_x
_atom_site_fract_y
_atom_site_fract_z
Mn1 Mn 0.000 0.000 0.000
Te1 Te 0.500 0.500 0.500
Ru1 Ru 0.254 0.254 0.769
Ru2 Ru 0.746 0.746 0.231

***

Which formula does entry 3 have?
BaLi3Te3